The following is a DFT calculation (PBE-GGA) of a relaxed RbNaCdN2 crystal.

```
data_RbNaCdN2
_chemical_formula_sum 'Rb1 Na1 Cd1 N2'
_symmetry_space_group_name_H-M 'P 4/m m m'
_symmetry_Int_Tables_number 123
_symmetry_space_group_name_Hall '-P 4 2'
_cell_length_a 5.2918
_cell_length_b 5.2918
_cell_length_c 6.0774
_cell_angle_alpha 90.00
_cell_angle_beta 90.00
_cell_angle_gamma 90.00
loop_
_atom_site_label
_atom_site_fract_x
_atom_site_fract_y
_atom_site_fract_z
Rb1 0.0000 0.0000 0.0000
Na1 0.0000 0.0000 0.5000
Cd1 0.5000 0.5000 0.5000
N1 0.0000 0.5000 0.0000
```

Magnetic moment ... 4.0 μB per cell
N(E_F) ... 4.28 states/eV/cell
Energy ... -2.156 eV/atom
Formation energy from raw total energies ... 1814 meV/atom